Below is a relaxed NdSm3Y12 crystal, with properties calculated at the PBE-GGA level.

```
NdSm3Y12
1.0
5.074 0.000 0.000
0.000 5.074 0.000
0.000 0.000 20.305
Nd Sm Y
1 3 12
Cartesian
0.000 0.000 0.000
0.000 0.000 5.080
0.000 0.000 10.152
0.000 0.000 15.225
0.000 2.537 2.550
0.000 2.537 7.616
0.000 2.537 12.689
0.000 2.537 17.755
2.537 0.000 2.550
2.537 0.000 7.616
2.537 0.000 12.689
2.537 0.000 17.755
2.537 2.537 0.000
2.537 2.537 5.084
2.537 2.537 10.152
2.537 2.537 15.221
```

Values from the calculation:
The density of states at the Fermi level is 23.41 states/eV per cell. As for the space group: No. 123. The total energy is -96.15 eV per cell. Its magnetic moment is 0.0 μB/f.u. The calculated formation energy comes out at 0.0215 eV/atom.

Below is a relaxed NdSmYZn crystal, with properties calculated at the PBE-GGA level.

```
NdSmYZn
1.0
3.626 0.000 0.000
0.000 3.626 0.000
0.000 0.000 8.788
Nd Sm Y Zn
1 1 1 1
Cartesian
0.000 0.000 0.000
1.813 1.813 6.169
1.813 1.813 2.590
0.000 0.000 4.308
```

Values from the calculation:
The density of states at the Fermi level is 4.79 states/eV per cell. As for the space group: No. 99. The total energy is -17.87 eV per cell. Its magnetic moment is 0.0 μB/f.u. The calculated formation energy comes out at -0.1604 eV/atom.

Below is a relaxed Nd5SmZn4 crystal, with properties calculated at the PBE-GGA level.

```
Nd5SmZn4
1.0
3.683 0.000 0.000
0.000 3.683 0.000
0.000 0.000 19.901
Nd Sm Zn
5 1 4
Cartesian
0.000 0.000 0.000
0.000 0.000 3.674
0.000 0.000 7.356
0.000 0.000 12.545
0.000 0.000 16.227
1.842 1.842 9.950
1.842 1.842 1.848
1.842 1.842 5.541
1.842 1.842 14.360
1.842 1.842 18.053
```

Values from the calculation:
The density of states at the Fermi level is 11.48 states/eV per cell. As for the space group: No. 123. The total energy is -36.08 eV per cell. Its magnetic moment is 0.0 μB/f.u. The calculated formation energy comes out at -0.2430 eV/atom.

Below is a relaxed Nd2SmZn3 crystal, with properties calculated at the PBE-GGA level.

```
Nd2SmZn3
1.0
3.671 0.000 0.000
0.000 3.671 0.000
0.000 0.000 11.034
Nd Sm Zn
2 1 3
Cartesian
0.000 0.000 1.858
0.000 0.000 9.176
0.000 0.000 5.517
1.835 1.835 0.000
1.835 1.835 3.730
1.835 1.835 7.304
```

Values from the calculation:
As for the polymorph energy (0 for the lowest one): 0.03 eV/f.u. The density of states at the Fermi level is 7.74 states/eV per cell. As for the space group: No. 123. The total energy is -19.92 eV per cell. Its magnetic moment is 0.0 μB/f.u. The calculated formation energy comes out at -0.3078 eV/atom.

Below is a relaxed NdSm2Zn crystal, with properties calculated at the PBE-GGA level.

```
NdSm2Zn
1.0
3.654 0.000 0.000
0.000 3.654 0.000
0.000 0.000 8.806
Nd Sm Zn
1 2 1
Cartesian
0.000 0.000 0.000
1.827 1.827 2.595
1.827 1.827 6.211
0.000 0.000 4.403
```

Values from the calculation:
As for the polymorph energy (0 for the lowest one): 0.00 eV/f.u. The density of states at the Fermi level is 4.23 states/eV per cell. As for the space group: No. 123. The total energy is -16.10 eV per cell. Its magnetic moment is 0.0 μB/f.u. The calculated formation energy comes out at -0.1554 eV/atom.

Below is a relaxed Nd2Sm2Zn crystal, with properties calculated at the PBE-GGA level.

```
Nd2Sm2Zn
1.0
4.215 -4.803 0.000
4.215 4.803 0.000
-3.466 0.000 7.505
Nd Sm Zn
4 4 2
Cartesian
-0.075 0.000 3.088
-0.707 0.000 6.578
5.670 0.000 0.926
5.038 0.000 4.416
2.660 1.829 2.000
2.303 1.829 5.505
2.660 -1.829 2.000
2.303 -1.829 5.505
4.215 3.437 0.000
4.215 -3.437 0.000
```

Values from the calculation:
As for the polymorph energy (0 for the lowest one): 0.45 eV/f.u. The density of states at the Fermi level is 10.35 states/eV per cell. As for the space group: No. 12. The total energy is -40.81 eV per cell. Its magnetic moment is 0.0 μB/f.u. The calculated formation energy comes out at -0.0313 eV/atom.

Below is a relaxed NdSm4Zn crystal, with properties calculated at the PBE-GGA level.

```
NdSm4Zn
1.0
4.512 -6.859 0.000
4.512 6.859 0.000
-2.054 0.000 6.032
Nd Sm Zn
2 8 2
Cartesian
2.971 5.538 4.524
3.998 -5.538 1.508
0.228 1.512 5.266
2.650 2.478 2.706
1.255 -1.512 2.250
5.346 2.478 0.310
1.623 -2.478 5.723
5.714 1.512 3.782
4.319 -2.478 3.326
6.741 -1.512 0.766
3.998 -0.004 1.508
2.971 0.004 4.524
```

Values from the calculation:
As for the polymorph energy (0 for the lowest one): 0.56 eV/f.u. The density of states at the Fermi level is 17.45 states/eV per cell. As for the space group: No. 15. The total energy is -49.88 eV per cell. Its magnetic moment is 0.0 μB/f.u. The calculated formation energy comes out at -0.0036 eV/atom.

Below is a relaxed Nd4Sm5Zn crystal, with properties calculated at the PBE-GGA level.

```
Nd4Sm5Zn
1.0
3.656 0.000 0.000
0.000 3.656 0.000
0.000 0.000 24.307
Nd Sm Zn
4 5 1
Cartesian
0.000 0.000 2.574
0.000 0.000 7.739
0.000 0.000 16.568
0.000 0.000 21.733
1.828 1.828 0.000
1.828 1.828 5.179
1.828 1.828 10.366
1.828 1.828 13.941
1.828 1.828 19.128
0.000 0.000 12.154
```

Values from the calculation:
The density of states at the Fermi level is 11.79 states/eV per cell. As for the space group: No. 123. The total energy is -44.49 eV per cell. Its magnetic moment is 0.0 μB/f.u. The calculated formation energy comes out at -0.0549 eV/atom.

Below is a relaxed Nd2Sm2Zn crystal, with properties calculated at the PBE-GGA level.

```
Nd2Sm2Zn
1.0
-1.831 1.831 11.403
1.831 -1.831 11.403
1.831 1.831 -11.403
Nd Sm Zn
2 2 1
Cartesian
0.000 0.000 4.404
0.000 0.000 18.402
0.000 0.000 9.615
0.000 0.000 13.191
0.000 0.000 0.000
```

Values from the calculation:
As for the polymorph energy (0 for the lowest one): 0.00 eV/f.u. The density of states at the Fermi level is 5.68 states/eV per cell. As for the space group: No. 139. The total energy is -20.86 eV per cell. Its magnetic moment is 0.0 μB/f.u. The calculated formation energy comes out at -0.1214 eV/atom.

Below is a relaxed NdSm2Zn4 crystal, with properties calculated at the PBE-GGA level.

```
NdSm2Zn4
1.0
-2.633 2.633 6.384
2.633 -2.633 6.384
2.633 2.633 -6.384
Nd Sm Zn
1 2 4
Cartesian
0.000 0.000 0.000
0.000 0.000 3.572
0.000 0.000 9.196
2.633 0.000 1.400
2.633 0.000 4.984
0.000 2.633 1.400
0.000 2.633 4.984
```

Values from the calculation:
The density of states at the Fermi level is 5.03 states/eV per cell. As for the space group: No. 139. The total energy is -20.28 eV per cell. Its magnetic moment is 0.0 μB/f.u. The calculated formation energy comes out at -0.1401 eV/atom.

Below is a relaxed Nd2SmZn4 crystal, with properties calculated at the PBE-GGA level.

```
Nd2SmZn4
1.0
-2.639 2.639 6.407
2.639 -2.639 6.407
2.639 2.639 -6.407
Nd Sm Zn
2 1 4
Cartesian
0.000 0.000 2.808
0.000 0.000 10.006
0.000 0.000 6.407
2.639 0.000 1.365
2.639 0.000 5.042
0.000 2.639 1.365
0.000 2.639 5.042
```

Values from the calculation:
The density of states at the Fermi level is 5.00 states/eV per cell. As for the space group: No. 139. The total energy is -20.38 eV per cell. Its magnetic moment is 0.0 μB/f.u. The calculated formation energy comes out at -0.1474 eV/atom.

Below is a relaxed NdSm3Zn crystal, with properties calculated at the PBE-GGA level.

```
NdSm3Zn
1.0
14.827 -1.841 0.000
14.827 1.841 0.000
-0.031 0.000 5.571
Nd Sm Zn
2 6 2
Cartesian
6.874 0.000 1.386
22.749 0.000 4.185
4.617 0.000 4.168
11.164 0.000 4.204
13.500 0.000 1.464
16.123 0.000 4.106
18.459 0.000 1.367
25.007 0.000 1.402
1.166 0.000 1.248
28.458 0.000 4.323
```

Values from the calculation:
As for the polymorph energy (0 for the lowest one): 0.00 eV/f.u. The density of states at the Fermi level is 11.88 states/eV per cell. As for the space group: No. 12. The total energy is -41.33 eV per cell. Its magnetic moment is 0.0 μB/f.u. The calculated formation energy comes out at -0.0933 eV/atom.

- What is the calculated formation energy in the eleventh record?
  -0.1474 eV/atom

- Which of these has the highest calculated formation energy?
  NdSm3Y12

Copy entry 8 word for word.
Below is a relaxed Nd4Sm5Zn crystal, with properties calculated at the PBE-GGA level.

```
Nd4Sm5Zn
1.0
3.656 0.000 0.000
0.000 3.656 0.000
0.000 0.000 24.307
Nd Sm Zn
4 5 1
Cartesian
0.000 0.000 2.574
0.000 0.000 7.739
0.000 0.000 16.568
0.000 0.000 21.733
1.828 1.828 0.000
1.828 1.828 5.179
1.828 1.828 10.366
1.828 1.828 13.941
1.828 1.828 19.128
0.000 0.000 12.154
```

Values from the calculation:
The density of states at the Fermi level is 11.79 states/eV per cell. As for the space group: No. 123. The total energy is -44.49 eV per cell. Its magnetic moment is 0.0 μB/f.u. The calculated formation energy comes out at -0.0549 eV/atom.